Computed, not measured: a relaxed structure of Ba3Cu2P4 at the PBE-GGA level of DFT.

Density ... 5.2 Mg/m³
E_form ... -0.70 eV per atom
Uncorrected energy ... -4.6599 eV/atom
SG ... C2/m
V ... 23.4 Å³ per atom

a b c (Å): 6.3082 6.3082 8.4614
angles (deg): 90.66 90.66 38.80
With the nearest neighbours (Å) after each atom.
Fractional coordinates of all 9 atoms:
Ba 0.0000 0.0000 0.0000  8 P 3.35-3.38, 4 Cu 3.42
Ba 0.3372 0.3372 0.3301  4 Cu 3.29-3.43, 8 P 3.31-3.42
Ba 0.6628 0.6628 0.6699  4 Cu 3.29-3.43, 8 P 3.31-3.42
Cu 0.3890 0.3890 0.7193  3 P 2.32-2.37
Cu 0.6110 0.6110 0.2807  3 P 2.32-2.37
P 0.0590 0.0590 0.3877  2 Cu 2.37, 1 P 2.38
P 0.2803 0.2803 0.9457  1 Cu 2.32, 2 P 2.40
P 0.7197 0.7197 0.0543  1 Cu 2.32, 2 P 2.40
P 0.9410 0.9410 0.6123  2 Cu 2.37, 1 P 2.38


Computed, not measured: a relaxed structure of Ba2CuP at the PBE-GGA level of DFT.

Density ... 4.2 Mg/m³
E_form ... -0.37 eV per atom
Uncorrected energy ... -3.7069 eV/atom
SG ... P4/mmm
V ... 36.2 Å³ per atom

a b c (Å): 4.7019 4.7019 6.5526
angles (deg): 90.00 90.00 90.00
With the nearest neighbours (Å) after each atom.
Fractional coordinates of all 4 atoms:
Ba 0.0000 0.0000 0.0000  2 Cu 3.28, 4 P 3.32
Ba 0.5000 0.5000 0.5000  2 P 3.28, 4 Cu 3.32
Cu 0.0000 0.0000 0.5000  6 Ba 3.28-3.32
P 0.5000 0.5000 0.0000  6 Ba 3.28-3.32


Computed, not measured: a relaxed structure of BaCu9P4 at the PBE-GGA level of DFT.

Density ... 6.9 Mg/m³
E_form ... -0.14 eV per atom
Uncorrected energy ... -4.4581 eV/atom
SG ... I4/mcm
V ... 14.4 Å³ per atom

a b c (Å): 8.3715 8.3715 8.3715
angles (deg): 121.80 121.80 86.91
With the nearest neighbours (Å) after each atom.
Fractional coordinates of all 28 atoms:
Ba 0.2500 0.2500 0.0000  16 Cu 3.33-3.50, 8 P 3.38
Ba 0.7500 0.7500 0.0000  16 Cu 3.33-3.50, 8 P 3.38
Cu 0.0000 0.5000 0.5000  4 P 2.47, 8 Cu 2.53-2.62
Cu 0.0555 0.5555 0.2507  4 P 2.41-2.50, 5 Cu 2.62-2.65
Cu 0.0756 0.8012 0.8768  6 Cu 2.45-2.65, 4 P 2.60-2.73
Cu 0.1952 0.9445 0.5000  4 P 2.41-2.50, 5 Cu 2.62-2.65
Cu 0.1988 0.0756 0.2745  6 Cu 2.45-2.65, 4 P 2.60-2.73
Cu 0.3012 0.5756 0.8768  6 Cu 2.45-2.65, 4 P 2.60-2.73
Cu 0.3048 0.8048 0.7493  4 P 2.41-2.50, 5 Cu 2.62-2.65
Cu 0.4244 0.3012 0.7255  6 Cu 2.45-2.65, 4 P 2.60-2.73
Cu 0.4445 0.6952 0.5000  4 P 2.41-2.50, 5 Cu 2.62-2.65
Cu 0.5000 0.0000 0.5000  4 P 2.47, 8 Cu 2.53-2.62
Cu 0.5555 0.3048 0.5000  4 P 2.41-2.50, 5 Cu 2.62-2.65
Cu 0.5756 0.6988 0.2745  6 Cu 2.45-2.65, 4 P 2.60-2.73
Cu 0.6952 0.1952 0.2507  4 P 2.41-2.50, 5 Cu 2.62-2.65
Cu 0.6988 0.4244 0.1232  6 Cu 2.45-2.65, 4 P 2.60-2.73
Cu 0.8012 0.9244 0.7255  6 Cu 2.45-2.65, 4 P 2.60-2.73
Cu 0.8048 0.0555 0.5000  4 P 2.41-2.50, 5 Cu 2.62-2.65
Cu 0.9244 0.1988 0.1232  6 Cu 2.45-2.65, 4 P 2.60-2.73
Cu 0.9445 0.4445 0.7493  4 P 2.41-2.50, 5 Cu 2.62-2.65
P 0.0427 0.2058 0.5000  7 Cu 2.41-2.60
P 0.2058 0.7058 0.1631  7 Cu 2.41-2.60
P 0.2942 0.4573 0.5000  7 Cu 2.41-2.60
P 0.4573 0.9573 0.1631  7 Cu 2.41-2.60
P 0.5427 0.0427 0.8369  7 Cu 2.41-2.60
P 0.7058 0.5427 0.5000  7 Cu 2.41-2.60
P 0.7942 0.2942 0.8369  7 Cu 2.41-2.60
P 0.9573 0.7942 0.5000  7 Cu 2.41-2.60